Version P
Cd2In2Ga (PBE, relaxed); magnetization = 0.0 μB/f.u.
1.0
-4.991 0.671 5.589
-3.614 -6.108 -2.494
2.568 -2.582 2.603
Cd In Ga
4 4 2
Direct
0.639 0.139 0.000
0.861 0.639 0.000
0.139 0.361 0.000
0.361 0.861 0.000
0.668 0.832 0.500
0.168 0.668 0.500
0.332 0.168 0.500
0.832 0.332 0.500
0.000 0.000 0.000
0.500 0.500 0.000

=====

Version Q
Cd2In2Ga (PBE, relaxed); magnetization = 0.0 μB/f.u.
1.0
-3.034 -7.542 -2.106
3.064 -3.222 7.124
-3.137 0.786 1.705
Cd In Ga
4 4 2
Direct
0.343 0.157 0.500
0.657 0.843 0.500
0.843 0.343 0.500
0.157 0.657 0.500
0.644 0.144 0.000
0.144 0.356 0.000
0.356 0.856 0.000
0.856 0.644 0.000
0.000 0.000 0.000
0.500 0.500 0.000

=====

Which of them is most stable, and which least? Most stable: version P; least stable: version Q.

=====

Version P
Cd2In2Ga (PBE, relaxed); magnetization = 0.0 μB/f.u.
1.0
-6.231 -1.626 -3.280
5.382 -3.454 -5.374
1.100 -1.717 5.106
Cd Ga In
4 2 4
Direct
0.234 0.682 0.827
0.219 0.864 0.395
0.781 0.136 0.605
0.766 0.318 0.173
0.739 0.502 0.742
0.261 0.498 0.258
0.267 0.092 0.049
0.733 0.908 0.951
0.260 0.293 0.648
0.740 0.707 0.352

=====

Version Q
Cd2In2Ga (PBE, relaxed); magnetization = 0.0 μB/f.u.
1.0
-2.901 2.379 1.563
-2.833 -2.196 -1.917
-3.411 -4.722 6.141
In Cd Ga
2 2 1
Direct
0.404 0.404 0.193
0.596 0.596 0.807
0.750 0.250 0.500
0.250 0.750 0.500
0.000 0.000 0.000

=====

Version R
Cd2In2Ga (PBE, relaxed); magnetization = 0.0 μB/f.u.
1.0
4.368 0.000 0.000
0.000 4.368 0.000
2.184 2.184 6.981
Ga In Cd
1 2 2
Direct
0.000 0.000 0.000
0.250 0.750 0.500
0.750 0.250 0.500
0.598 0.598 0.804
0.402 0.402 0.196

=====

Which of them is most stable, and which least? Most stable: version P; least stable: version R.

=====

Version P
CdIn8Ga2 (PBE, relaxed); magnetization = 0.0 μB/f.u.
1.0
5.594 -0.147 -1.034
-0.218 6.010 -2.035
-0.807 -0.412 8.775
In Cd Ga
8 1 2
Direct
0.971 0.592 0.185
0.508 0.659 0.811
0.508 0.151 0.811
0.492 0.849 0.189
0.951 0.800 0.600
0.029 0.408 0.815
0.049 0.200 0.400
0.492 0.341 0.189
0.000 0.000 0.000
0.588 0.259 0.517
0.412 0.741 0.483

=====

Version Q
CdIn8Ga2 (PBE, relaxed); magnetization = 0.0 μB/f.u.
1.0
-2.852 4.390 -1.210
-4.597 0.218 6.284
3.238 4.968 5.051
In Ga Cd
8 2 1
Direct
0.782 0.196 0.647
0.118 0.758 0.758
0.782 0.647 0.196
0.218 0.353 0.804
0.218 0.804 0.353
0.882 0.242 0.242
0.690 0.619 0.619
0.310 0.381 0.381
0.456 0.122 0.122
0.544 0.878 0.878
0.000 0.000 0.000

=====

Which of them is most stable, and which least? Most stable: version P; least stable: version Q.